Record 1
ErPuMnFe (PBE, relaxed); DFT formation energy = 0.30 eV/f.u.
1.0
-2.029 4.163 -0.907
-3.881 1.295 2.351
0.220 3.476 3.184
Er Pu Mn Fe
1 1 1 1
Direct
0.500 0.500 0.500
0.000 0.000 0.000
0.750 0.750 0.750
0.250 0.250 0.250


Record 2
Er2MnFeSi2 (PBE, relaxed); ΔE_f (raw) = -0.59 eV/atom
1.0
5.638 0.000 0.000
0.000 5.660 0.000
-2.819 -2.830 6.593
Fe Mn Si Er
2 2 4 4
Direct
0.500 0.250 0.000
0.500 0.750 0.000
0.000 0.250 0.000
0.000 0.750 0.000
0.645 0.403 0.806
0.161 0.903 0.806
0.355 0.597 0.194
0.839 0.097 0.194
0.589 0.840 0.679
0.411 0.160 0.321
0.090 0.340 0.679
0.910 0.660 0.321


Record 3
ErMnFeSi3 (PBE, relaxed); ΔE_f (raw) = -0.29 eV/atom
1.0
6.008 0.000 0.000
0.000 5.770 0.000
0.000 -2.885 5.567
Fe Mn Si Er
2 2 6 2
Direct
0.750 0.613 0.226
0.250 0.387 0.774
0.750 0.991 0.982
0.250 0.009 0.018
0.500 0.295 0.000
0.000 0.295 0.000
0.750 0.802 0.604
0.250 0.198 0.396
0.000 0.705 0.000
0.500 0.705 0.000
0.250 0.739 0.477
0.750 0.261 0.523


Table of total energy (eV per atom), in record order: -9.057, -6.860, -6.703